Pr2GaGe3 after structural relaxation, computed with PBE.

The total magnetic moment comes out at 0.0 Bohr magnetons per cell. The raw total energy comes out at -60.5 eV for the cell shown. The energy of formation from the pure elements is -0.63 eV/atom.

Unit cell a=6.150 b=6.150 c=8.670 alpha=112.35 beta=112.35 gamma=85.88
Fractional coordinates of all 12 atoms:
Pr1 0.750 0.250 0.500
Pr2 0.754 0.246 0.000
Pr3 0.250 0.750 0.500
Pr4 0.246 0.754 0.000
Ga1 0.666 0.666 0.332
Ga2 0.334 0.334 0.668
Ge1 0.829 0.829 0.171
Ge2 0.658 0.658 0.829
Ge3 0.171 0.171 0.829
Ge4 0.342 0.342 0.171
Ge5 0.165 0.165 0.330
Ge6 0.835 0.835 0.670

***

PrErHgPb after structural relaxation, computed with PBE.

The total magnetic moment comes out at 0.0 Bohr magnetons per cell. The raw total energy comes out at -15.2 eV for the cell shown. The energy of formation from the pure elements is -0.46 eV/atom.

Unit cell a=5.421 b=5.421 c=5.421 alpha=60.00 beta=60.00 gamma=60.00
Fractional coordinates of all 4 atoms:
Pb1 0.250 0.250 0.250
Pr1 0.500 0.500 0.500
Hg1 0.750 0.750 0.750
Er1 0.000 0.000 0.000

***

KIn6Ga2 after structural relaxation, computed with PBE.

The total magnetic moment comes out at 0.0 Bohr magnetons per cell. The raw total energy comes out at -23.9 eV for the cell shown. The energy of formation from the pure elements is -0.03 eV/atom.

Unit cell a=5.377 b=5.377 c=8.750 alpha=90.00 beta=90.00 gamma=90.00
Fractional coordinates of all 9 atoms:
K1 0.000 0.000 0.000
In1 0.000 0.500 0.297
In2 0.500 0.000 0.297
In3 0.000 0.500 0.703
In4 0.500 0.000 0.703
In5 0.500 0.500 0.500
In6 0.000 0.000 0.500
Ga1 0.500 0.500 0.150
Ga2 0.500 0.500 0.850

***

GeSe2N2 after structural relaxation, computed with PBE.

The total magnetic moment comes out at 0.0 Bohr magnetons per cell. The raw total energy comes out at -46.6 eV for the cell shown. The formation energy from raw total energies comes out at 0.989 eV per atom.

Unit cell a=7.401 b=7.401 c=2.993 alpha=90.00 beta=90.00 gamma=90.00
Fractional coordinates of all 10 atoms:
Ge1 0.000 0.000 0.000
Ge2 0.500 0.500 0.000
Se1 0.158 0.658 0.500
Se2 0.658 0.842 0.500
Se3 0.842 0.342 0.500
Se4 0.342 0.158 0.500
N1 0.274 0.774 0.000
N2 0.774 0.726 0.000
N3 0.726 0.226 0.000
N4 0.226 0.274 0.000

***

As4OsW after structural relaxation, computed with PBE.

The total magnetic moment comes out at 0.0 Bohr magnetons per cell. The raw total energy comes out at -35.0 eV for the cell shown. The energy of formation from the pure elements is 1.29 eV/atom.

Unit cell a=5.263 b=5.263 c=5.263 alpha=60.00 beta=60.00 gamma=60.00
Fractional coordinates of all 6 atoms:
As1 0.876 0.375 0.375
As2 0.375 0.375 0.876
As3 0.375 0.876 0.375
As4 0.375 0.375 0.375
Os1 0.750 0.750 0.750
W1 0.000 0.000 0.000